VASP calculation (PBE with a Hubbard U) on an optimized crystal structure of CoAsPbO.

a b c (Å): 3.849 3.849 9.822
angles (deg): 90.00 90.00 90.00
Element x y z (fractional)
As  0.000  0.500  0.373
As  0.500  0.000  0.627
Co  0.000  0.000  0.500
Co  0.500  0.500  0.500
O  0.000  0.000  0.000
O  0.500  0.500  0.000
Pb  0.500  0.000  0.128
Pb  0.000  0.500  0.872

Properties
Offset from the most stable computed form   4.3 kJ/mol of formula units